A relaxed V2CoCuH crystal. Source: the Alexandria database, functional PBE. Values from VASP.

Structure (Quantum ESPRESSO input):
```
&SYSTEM
  ibrav = 0, nat = 5, ntyp = 4
/
ATOMIC_SPECIES
V 50.94 V.upf
Co 58.93 Co.upf
Cu 63.55 Cu.upf
H 1.01 H.upf
CELL_PARAMETERS angstrom
3.724 0.000 0.000
0.000 3.724 0.000
0.000 0.000 3.662
ATOMIC_POSITIONS angstrom
V 0.000 1.862 0.000
V 1.862 0.000 0.000
Co 0.000 0.000 1.831
Cu 1.862 1.862 1.831
H 0.000 0.000 0.000
```

Computed properties:
Offset from the most stable computed form ... 0.0 meV per atom
Crystal system ... tetragonal
Electronic total energy ... -6.5836 eV/atom
Calculated volume ... 10.16 Å³ per atom
Density of states at the Fermi level ... 4.436 states/eV per cell